[1]
VASP calculation (GGA-PBE) on an optimized crystal structure of LaZr2Cd.

## Properties
SG: No. 12
formation energy from the elements: 0.0407 eV/atom
spin magnetization: 0.000 μB/cell

The structure in POSCAR format:
```
LaZr2Cd
1.0
5.601 -1.634 0.000
5.601 1.634 0.000
-1.263 0.000 5.534
La Zr Cd
1 2 1
direct
0.000 0.000 0.000 La
0.234 0.234 0.732 Zr
0.766 0.766 0.268 Zr
0.500 0.500 0.500 Cd
```


[2]
VASP calculation (GGA-PBE) on an optimized crystal structure of LaZr2Cd.

## Properties
SG: No. 122
formation energy from the elements: 0.3138 eV/atom
spin magnetization: 0.000 μB/cell

The structure in POSCAR format:
```
LaZr2Cd
1.0
-2.222 2.222 10.839
2.222 -2.222 10.839
2.222 2.222 -10.839
La Zr Cd
2 4 2
direct
0.000 0.000 0.000 La
0.750 0.250 0.500 La
0.135 0.625 0.010 Zr
0.375 0.385 0.510 Zr
0.615 0.125 0.990 Zr
0.875 0.865 0.490 Zr
0.250 0.750 0.500 Cd
0.500 0.500 0.000 Cd
```


[3]
VASP calculation (GGA-PBE) on an optimized crystal structure of La2ZrCd.

## Properties
SG: No. 99
formation energy from the elements: -0.0333 eV/atom
spin magnetization: 0.000 μB/cell

The structure in POSCAR format:
```
La2ZrCd
1.0
3.511 0.000 0.000
0.000 3.511 0.000
0.000 0.000 9.382
La Zr Cd
2 1 1
direct
0.000 0.000 0.000 La
0.500 0.500 0.306 La
0.000 0.000 0.552 Zr
0.500 0.500 0.748 Cd
```


[4]
VASP calculation (GGA-PBE) on an optimized crystal structure of La2ZrCd.

## Properties
SG: No. 139
formation energy from the elements: 0.0277 eV/atom
spin magnetization: 0.014 μB/cell

The structure in POSCAR format:
```
La2ZrCd
1.0
-2.437 2.437 4.834
2.437 -2.437 4.834
2.437 2.437 -4.834
La Zr Cd
2 1 1
direct
0.250 0.750 0.500 La
0.750 0.250 0.500 La
0.000 0.000 0.000 Zr
0.500 0.500 0.000 Cd
```


[5]
VASP calculation (GGA-PBE) on an optimized crystal structure of LaZr2Cd.

## Properties
SG: No. 160
formation energy from the elements: 0.0577 eV/atom
spin magnetization: 0.237 μB/cell

The structure in POSCAR format:
```
LaZr2Cd
1.0
1.666 0.962 10.888
-1.666 0.962 10.888
0.000 -1.923 10.888
La Zr Cd
1 2 1
direct
0.000 0.000 0.000 La
0.241 0.241 0.241 Zr
0.500 0.500 0.500 Zr
0.756 0.756 0.756 Cd
```


[6]
VASP calculation (GGA-PBE) on an optimized crystal structure of LaZr2Cd.

## Properties
SG: No. 47
formation energy from the elements: 0.0745 eV/atom
spin magnetization: 0.000 μB/cell

The structure in POSCAR format:
```
LaZr2Cd
1.0
3.376 0.000 0.000
0.000 5.335 0.000
0.000 0.000 5.622
La Zr Cd
1 2 1
direct
0.000 0.000 0.000 La
0.000 0.500 0.500 Zr
0.500 0.500 0.000 Zr
0.500 0.000 0.500 Cd
```


[7]
VASP calculation (GGA-PBE) on an optimized crystal structure of La2ZrCd.

## Properties
SG: No. 166
formation energy from the elements: 0.0664 eV/atom
spin magnetization: 0.002 μB/cell

The structure in POSCAR format:
```
La2ZrCd
1.0
1.749 1.010 11.247
-1.749 1.010 11.247
0.000 -2.020 11.247
La Zr Cd
2 1 1
direct
0.248 0.248 0.248 La
0.752 0.752 0.752 La
0.500 0.500 0.500 Zr
0.000 0.000 0.000 Cd
```


[8]
VASP calculation (GGA-PBE) on an optimized crystal structure of LaZr2Cd2.

## Properties
energy above the most stable polymorph in this dataset: 0.000 eV/atom
SG: No. 127
formation energy from the elements: -0.0132 eV/atom
spin magnetization: 0.000 μB/cell

The structure in POSCAR format:
```
LaZr2Cd2
1.0
8.906 0.000 0.000
0.000 8.906 0.000
0.000 0.000 3.129
La Zr Cd
2 4 4
direct
0.000 0.000 0.000 La
0.500 0.500 0.000 La
0.120 0.380 0.000 Zr
0.380 0.880 0.000 Zr
0.620 0.120 0.000 Zr
0.880 0.620 0.000 Zr
0.175 0.675 0.500 Cd
0.325 0.175 0.500 Cd
0.675 0.825 0.500 Cd
0.825 0.325 0.500 Cd
```


[9]
VASP calculation (GGA-PBE) on an optimized crystal structure of La2ZrCd.

## Properties
SG: No. 47
formation energy from the elements: 0.0112 eV/atom
spin magnetization: 0.001 μB/cell

The structure in POSCAR format:
```
La2ZrCd
1.0
3.608 0.000 0.000
0.000 4.540 0.000
0.000 0.000 7.237
La Zr Cd
2 1 1
direct
0.000 0.000 0.249 La
0.000 0.000 0.751 La
0.500 0.500 0.000 Zr
0.500 0.500 0.500 Cd
```


[10]
VASP calculation (GGA-PBE) on an optimized crystal structure of Li3Cd.

## Properties
SG: No. 12
formation energy from the elements: -0.1590 eV/atom
spin magnetization: 0.000 μB/cell

The structure in POSCAR format:
```
Li3Cd
1.0
5.156 -1.540 0.000
5.156 1.540 0.000
-1.678 0.000 4.669
Li Cd
3 1
direct
0.000 0.000 0.000 Li
0.250 0.250 0.746 Li
0.750 0.750 0.254 Li
0.500 0.500 0.500 Cd
```


[11]
VASP calculation (GGA-PBE) on an optimized crystal structure of LiCd3.

## Properties
SG: No. 47
formation energy from the elements: -0.1587 eV/atom
spin magnetization: 0.000 μB/cell

The structure in POSCAR format:
```
LiCd3
1.0
3.299 0.000 0.000
0.000 3.751 0.000
0.000 0.000 6.539
Li Cd
1 3
direct
0.000 0.000 0.000 Li
0.000 0.000 0.500 Cd
0.500 0.500 0.229 Cd
0.500 0.500 0.771 Cd
```


[12]
VASP calculation (GGA-PBE) on an optimized crystal structure of Li3Cd5.

## Properties
energy above the most stable polymorph in this dataset: 0.005 eV/atom
SG: No. 65
formation energy from the elements: -0.2052 eV/atom
spin magnetization: 0.000 μB/cell

The structure in POSCAR format:
```
Li3Cd5
1.0
3.609 -4.649 0.000
3.609 4.649 0.000
0.000 0.000 4.599
Li Cd
3 5
direct
0.000 0.000 0.000 Li
0.269 0.731 0.500 Li
0.731 0.269 0.500 Li
0.000 0.500 0.000 Cd
0.218 0.218 0.500 Cd
0.500 0.000 0.000 Cd
0.500 0.500 0.000 Cd
0.782 0.782 0.500 Cd
```